A plane-wave DFT calculation with PBE-GGA was carried out for a relaxed Ac3CePt3 crystal.

Calculated values
V = 452.6 Å³/cell
Electronic total energy = -6.180 eV/atom
N(E_F) = 18.20 states/eV per cell
Formation energy from the elements = -6.88 eV/f.u.

Unit cell a=8.535 b=4.343 c=12.211 alpha=90.00 beta=91.15 gamma=90.00
Positions (direct):
Ac: 0.107 0.250 0.129
Ac: 0.367 0.750 0.382
Ac: 0.378 0.750 0.872
Ac: 0.622 0.250 0.128
Ac: 0.633 0.250 0.618
Ac: 0.893 0.750 0.871
Ce: 0.130 0.250 0.627
Ce: 0.870 0.750 0.373
Pt: 0.107 0.250 0.382
Pt: 0.138 0.250 0.876
Pt: 0.371 0.750 0.629
Pt: 0.629 0.250 0.371
Pt: 0.862 0.750 0.124
Pt: 0.893 0.750 0.618